1.
Entry from the Alexandria database: Pr4NdY8 after structural relaxation (GGA-PBE).

Its total DFT energy (no corrections) is -5.30 eV/atom.

It has space group R-3m (No. 166, hexagonal axes), with a = 11.1739 Å, b = 11.1739 Å, c = 13.6711 Å, α = 90.00°, β = 90.00° and γ = 120.00°. The distinct sites, in fractional coordinates, are Pr at (0.0000, 0.0000, 0.0000), Pr at (0.0000, 0.5000, 0.0000), Nd at (0.0000, 0.0000, 0.5000), Y at (0.0000, 0.0000, 0.2396) and Y at (0.0138, 0.5069, 0.7463).


2.
Entry from the Alexandria database: PrNd4Y2 after structural relaxation (GGA-PBE).

The value obtained for the polymorph energy (0 for the lowest one) is 0.054 eV/atom.

It has space group P2_1/m (No. 11), with a = 6.305 Å, b = 6.694 Å, c = 11.830 Å, α = 90.00°, β = 104.93° and γ = 90.00°. The distinct sites, in fractional coordinates, are Pr at (0.007, 0.250, 0.343), Nd at (0.163, 0.250, 0.645), Nd at (0.301, 0.750, 0.945), Nd at (0.364, 0.002, 0.213), Y at (0.137, 0.250, 0.933) and Y at (0.394, 0.750, 0.497).


3.
Entry from the Alexandria database: Pr3Nd2Y2 after structural relaxation (GGA-PBE).

The value obtained for the polymorph energy (0 for the lowest one) is 0.023 eV/atom.

It has space group P-1 (No. 2), with a = 3.606 Å, b = 8.827 Å, c = 9.001 Å, α = 61.64°, β = 89.99° and γ = 78.24°. The distinct sites, in fractional coordinates, are Pr at (0.000, 0.000, 0.000), Pr at (0.294, 0.411, 0.709), Nd at (0.363, 0.275, 0.167) and Y at (0.071, 0.858, 0.430).


4.
Entry from the Alexandria database: PrNd14Y after structural relaxation (GGA-PBE).

Its total DFT energy (no corrections) is -4.88 eV/atom.

It has space group Amm2 (No. 38), with a = 11.902 Å, b = 7.392 Å, c = 12.804 Å, α = 90.00°, β = 90.00° and γ = 90.00°. The distinct sites, in fractional coordinates, are Pr at (0.000, 0.000, 0.000), Nd at (0.000, 0.249, 0.751), Nd at (0.248, 0.000, 0.334), Nd at (0.249, 0.250, 0.084), Nd at (0.251, 0.000, 0.834), Nd at (0.500, 0.000, 0.167), Nd at (0.500, 0.000, 0.667), Nd at (0.500, 0.250, 0.417) and Y at (0.000, 0.000, 0.501).


5.
Entry from the Alexandria database: Pr6NdY8 after structural relaxation (GGA-PBE).

Its total DFT energy (no corrections) is -5.56 eV/atom.

It has space group R-3 (No. 148, hexagonal axes), with a = 9.1923 Å, b = 9.1923 Å, c = 21.2156 Å, α = 90.00°, β = 90.00° and γ = 120.00°. The distinct sites, in fractional coordinates, are Pr at (0.0592, 0.8114, 0.2106), Nd at (0.0000, 0.0000, 0.5000), Y at (0.0000, 0.0000, 0.0770) and Y at (0.0803, 0.5201, 0.3073).


6.
Entry from the Alexandria database: Pr4Nd2Y after structural relaxation (GGA-PBE).

The value obtained for the polymorph energy (0 for the lowest one) is 0.000 eV/atom.

It has space group R-3m (No. 166, hexagonal axes), with a = 3.6900 Å, b = 3.6900 Å, c = 63.0130 Å, α = 90.00°, β = 90.00° and γ = 120.00°. The distinct sites, in fractional coordinates, are Pr at (0.0000, 0.0000, 0.1425), Pr at (0.0000, 0.0000, 0.2866), Nd at (0.0000, 0.0000, 0.4280) and Y at (0.0000, 0.0000, 0.0000).